Record 1
First-principles (PBE) data for an optimized crystal structure of NiPCl2, as listed in Alexandria.

Computed properties:
SG: Fm-3m (225)
Offset from the most stable computed form in meV/atom: 1244

a = 4.497 Å, b = 4.497 Å, c = 4.497 Å
α = 60.00°, β = 60.00°, γ = 60.00°
Atoms (fractional coordinates):
Ni 0.000 0.000 0.000
P 0.500 0.500 0.500
Cl 0.250 0.250 0.250
Cl 0.750 0.750 0.750

Record 2
First-principles (PBE) data for an optimized crystal structure of NiPCl2, as listed in Alexandria.

Computed properties:
SG: Pm (6)
Offset from the most stable computed form in meV/atom: 196

a = 4.004 Å, b = 3.507 Å, c = 6.792 Å
α = 90.00°, β = 101.93°, γ = 90.00°
Atoms (fractional coordinates):
Ni 0.000 0.000 0.000
P 0.066 0.500 0.183
Cl 0.460 0.000 0.847
Cl 0.765 0.500 0.395

Record 3
First-principles (PBE) data for an optimized crystal structure of NiPCl, as listed in Alexandria.

Computed properties:
SG: I4mm (107)
Offset from the most stable computed form in meV/atom: 209

a = 5.626 Å, b = 5.626 Å, c = 5.626 Å
α = 147.73°, β = 147.73°, γ = 46.28°
Atoms (fractional coordinates):
Ni 0.000 0.000 0.000
P 0.443 0.443 0.000
Cl 0.236 0.236 0.000

Record 4
First-principles (PBE) data for an optimized crystal structure of NiPCl2, as listed in Alexandria.

Computed properties:
SG: R-3m (166)
Offset from the most stable computed form in meV/atom: 688

a = 7.898 Å, b = 7.898 Å, c = 7.898 Å
α = 24.73°, β = 24.73°, γ = 24.73°
Atoms (fractional coordinates):
Ni 0.000 0.000 0.000
P 0.500 0.500 0.500
Cl 0.395 0.395 0.395
Cl 0.605 0.605 0.605

Record 5
First-principles (PBE) data for an optimized crystal structure of NiPCl2, as listed in Alexandria.

Computed properties:
SG: I-4m2 (119)
Offset from the most stable computed form in meV/atom: 1263

a = 4.519 Å, b = 4.519 Å, c = 4.519 Å
α = 119.92°, β = 119.92°, γ = 90.14°
Atoms (fractional coordinates):
Ni 0.000 0.000 0.000
P 0.750 0.250 0.500
Cl 0.250 0.750 0.500
Cl 0.500 0.500 0.000

Record 6
First-principles (PBE) data for an optimized crystal structure of NiPCl2, as listed in Alexandria.

Computed properties:
SG: R-3m (166)
Offset from the most stable computed form in meV/atom: 758

a = 10.732 Å, b = 10.732 Å, c = 10.732 Å
α = 17.51°, β = 17.51°, γ = 17.51°
Atoms (fractional coordinates):
Ni 0.000 0.000 0.000
P 0.500 0.500 0.500
Cl 0.289 0.289 0.289
Cl 0.711 0.711 0.711

Record 7
First-principles (PBE) data for an optimized crystal structure of NiPCl2, as listed in Alexandria.

Computed properties:
SG: Pmmm (47)
Offset from the most stable computed form in meV/atom: 1012

a = 3.017 Å, b = 3.964 Å, c = 5.767 Å
α = 90.00°, β = 90.00°, γ = 90.00°
Atoms (fractional coordinates):
Ni 0.000 0.000 0.000
P 0.500 0.000 0.500
Cl 0.000 0.500 0.500
Cl 0.500 0.500 0.000

Record 8
First-principles (PBE) data for an optimized crystal structure of NiPCl2, as listed in Alexandria.

Computed properties:
SG: Cmmm (65)
Offset from the most stable computed form in meV/atom: 601

a = 7.086 Å, b = 7.086 Å, c = 3.184 Å
α = 90.00°, β = 90.00°, γ = 142.73°
Atoms (fractional coordinates):
Ni 0.000 0.000 0.000
P 0.500 0.500 0.000
Cl 0.126 0.874 0.500
Cl 0.874 0.126 0.500

Number 1: Fermi-level density of states 0.609 states/eV/atom, E_form (uncorrected) 70 kJ per mole of atoms. Number 2: Fermi-level density of states 0.343 states/eV/atom, E_form (uncorrected) -31 kJ per mole of atoms. Number 3: Fermi-level density of states 0.404 states/eV/atom, E_form (uncorrected) -17 kJ per mole of atoms. Number 4: Fermi-level density of states 1.065 states/eV/atom, E_form (uncorrected) 17 kJ per mole of atoms. Number 5: Fermi-level density of states 1.230 states/eV/atom, E_form (uncorrected) 72 kJ per mole of atoms. Number 6: Fermi-level density of states 0.292 states/eV/atom, E_form (uncorrected) 23 kJ per mole of atoms. Number 7: Fermi-level density of states 0.845 states/eV/atom, E_form (uncorrected) 48 kJ per mole of atoms. Number 8: Fermi-level density of states 0.386 states/eV/atom, E_form (uncorrected) 8 kJ per mole of atoms.